[1]
Crystalline MnNi at its relaxed geometry, computed with PBE.

Computed properties:
SG: No. 70
DOS(E_F) (states/eV per atom): 1.291
VASP energy (eV/atom): -6.948
Energy of formation (eV/atom): 0.527

a b c (Å): 6.332 6.937 8.586
angles (deg): 90.00 90.00 90.00
Site moments in Bohr magnetons follow the coordinates.
Fractional coordinates of all 32 atoms:
Mn1 0.344 0.000 0.000  0.19
Mn2 0.656 0.000 0.000  0.19
Mn3 0.906 0.750 0.250  0.19
Mn4 0.594 0.750 0.250  0.19
Mn5 0.344 0.500 0.500  0.19
Mn6 0.656 0.500 0.500  0.19
Mn7 0.906 0.250 0.750  0.19
Mn8 0.594 0.250 0.750  0.19
Mn9 0.844 0.000 0.500  0.19
Mn10 0.156 0.000 0.500  0.19
Mn11 0.406 0.750 0.750  0.19
Mn12 0.094 0.750 0.750  0.19
Mn13 0.844 0.500 0.000  0.19
Mn14 0.156 0.500 0.000  0.19
Mn15 0.406 0.250 0.250  0.19
Mn16 0.094 0.250 0.250  0.19
Ni1 0.000 0.834 0.000  0.00
Ni2 0.000 0.166 0.000  0.00
Ni3 0.250 0.916 0.250  0.00
Ni4 0.250 0.584 0.250  0.00
Ni5 0.000 0.334 0.500  0.00
Ni6 0.000 0.666 0.500  0.00
Ni7 0.250 0.416 0.750  0.00
Ni8 0.250 0.084 0.750  0.00
Ni9 0.500 0.834 0.500  0.00
Ni10 0.500 0.166 0.500  0.00
Ni11 0.750 0.916 0.750  0.00
Ni12 0.750 0.584 0.750  0.00
Ni13 0.500 0.334 0.000  0.00
Ni14 0.500 0.666 0.000  0.00
Ni15 0.750 0.416 0.250  0.00
Ni16 0.750 0.084 0.250  0.00


[2]
Crystalline MnNi at its relaxed geometry, computed with PBE.

Computed properties:
SG: No. 166
DOS(E_F) (states/eV per atom): 1.629
VASP energy (eV/atom): -7.420
Energy of formation (eV/atom): 0.055

a b c (Å): 2.477 8.253 2.477
angles (deg): 98.63 60.00 98.63
Site moments in Bohr magnetons follow the coordinates.
Fractional coordinates of all 4 atoms:
Mn1 0.998 0.994 0.998  0.15
Mn2 0.252 0.756 0.252  0.15
Ni1 0.501 0.502 0.501  0.43
Ni2 0.749 0.248 0.749  0.43


[3]
Crystalline MnNi at its relaxed geometry, computed with PBE.

Computed properties:
SG: No. 227
DOS(E_F) (states/eV per atom): 1.124
VASP energy (eV/atom): -7.341
Energy of formation (eV/atom): 0.135

a b c (Å): 4.031 4.031 4.031
angles (deg): 60.00 60.00 60.00
Site moments in Bohr magnetons follow the coordinates.
Fractional coordinates of all 4 atoms:
Mn1 0.000 0.000 0.000  2.54
Mn2 0.250 0.250 0.250  2.54
Ni1 0.750 0.750 0.750  0.47
Ni2 0.500 0.500 0.500  0.47


[4]
Crystalline MnNi3 at its relaxed geometry, computed with PBE.

Computed properties:
SG: No. 223
DOS(E_F) (states/eV per atom): 1.849
VASP energy (eV/atom): -6.562
Energy of formation (eV/atom): 0.066

a b c (Å): 4.536 4.536 4.536
angles (deg): 90.00 90.00 90.00
Site moments in Bohr magnetons follow the coordinates.
Fractional coordinates of all 8 atoms:
Mn1 0.000 0.000 0.000  3.23
Mn2 0.500 0.500 0.500  3.23
Ni1 0.000 0.250 0.500  0.56
Ni2 0.000 0.750 0.500  0.56
Ni3 0.250 0.500 0.000  0.56
Ni4 0.500 0.000 0.250  0.56
Ni5 0.500 0.000 0.750  0.56
Ni6 0.750 0.500 0.000  0.56


[5]
Crystalline MnNi at its relaxed geometry, computed with PBE.

Computed properties:
SG: No. 59
DOS(E_F) (states/eV per atom): 1.284
VASP energy (eV/atom): -7.445
Energy of formation (eV/atom): 0.031

a b c (Å): 2.618 4.333 12.331
angles (deg): 90.00 90.00 90.00
Site moments in Bohr magnetons follow the coordinates.
Fractional coordinates of all 12 atoms:
Mn1 0.000 0.089 0.661  2.73
Mn2 0.500 0.911 0.839  2.73
Mn3 0.500 0.911 0.161  2.73
Mn4 0.000 0.089 0.339  2.73
Mn5 0.000 0.756 0.000  -2.67
Mn6 0.500 0.244 0.500  -2.67
Ni1 0.000 0.409 0.832  0.38
Ni2 0.500 0.591 0.668  0.38
Ni3 0.500 0.591 0.332  0.38
Ni4 0.000 0.409 0.168  0.38
Ni5 0.000 0.731 0.500  0.05
Ni6 0.500 0.269 0.000  0.05


[6]
Crystalline MnNi2 at its relaxed geometry, computed with PBE.

Computed properties:
SG: No. 123
DOS(E_F) (states/eV per atom): 0.955
VASP energy (eV/atom): -6.412
Energy of formation (eV/atom): 0.499

a b c (Å): 3.874 3.874 2.741
angles (deg): 90.00 90.00 90.00
Site moments in Bohr magnetons follow the coordinates.
Fractional coordinates of all 3 atoms:
Mn1 0.000 0.000 0.000  2.84
Ni1 0.000 0.500 0.500  0.52
Ni2 0.500 0.000 0.500  0.52


[7]
Crystalline Mn5Ni3 at its relaxed geometry, computed with PBE.

Computed properties:
SG: No. 2
DOS(E_F) (states/eV per atom): 1.124
VASP energy (eV/atom): -7.753
Energy of formation (eV/atom): 0.146
Relative energy among the computed polymorphs (meV/atom): 138

a b c (Å): 4.776 6.838 7.077
angles (deg): 97.49 112.56 72.44
Site moments in Bohr magnetons follow the coordinates.
Fractional coordinates of all 16 atoms:
Ni1 0.243 0.008 0.993  0.64
Ni2 0.758 0.992 0.007  0.64
Ni3 0.728 0.500 0.850  0.44
Ni4 0.273 0.500 0.151  0.44
Ni5 0.876 0.848 0.500  0.43
Ni6 0.124 0.151 0.501  0.43
Mn1 0.735 0.515 0.485  -2.84
Mn2 0.266 0.485 0.516  -2.84
Mn3 0.243 0.846 0.298  3.29
Mn4 0.758 0.154 0.703  3.29
Mn5 0.294 0.298 0.846  3.29
Mn6 0.707 0.702 0.155  3.29
Mn7 0.455 0.841 0.698  3.30
Mn8 0.546 0.159 0.303  3.30
Mn9 0.903 0.301 0.160  3.29
Mn10 0.098 0.699 0.841  3.29


[8]
Crystalline MnNi2 at its relaxed geometry, computed with PBE.

Computed properties:
SG: No. 63
DOS(E_F) (states/eV per atom): 1.866
VASP energy (eV/atom): -6.911
Energy of formation (eV/atom): -0.001

a b c (Å): 6.539 6.539 4.119
angles (deg): 90.00 90.00 156.67
Site moments in Bohr magnetons follow the coordinates.
Fractional coordinates of all 6 atoms:
Mn1 0.396 0.604 0.250  3.15
Mn2 0.604 0.396 0.750  3.15
Ni1 0.063 0.937 0.250  0.53
Ni2 0.270 0.730 0.750  0.47
Ni3 0.730 0.270 0.250  0.47
Ni4 0.937 0.063 0.750  0.53